## SmZr2Ti (PBE)

Data for a relaxed SmZr2Ti crystal.

Cell lengths 3.6423, 3.6423, 7.2509 Å; angles 90.00, 90.00, 90.00 degrees
Last column: nearest neighbours and their distance in Å.
Space group P4/mmm (No. 123)
Asymmetric unit:
1 Sm 0.0000 0.0000 0.0000 x1  8 Zr 3.37, 2 Ti 3.63, 4 Sm 3.64
2 Zr 0.5000 0.5000 0.2990 x2  1 Zr 2.91, 4 Ti 2.96
3 Ti 0.0000 0.0000 0.5000 x1  8 Zr 2.96

Results
- Formation enthalpy at 0 K: 146.0 meV/atom
- Fermi-level density of states: 1.48 states/eV/atom
- Energy above the lowest structure with this stoichiometry: 0.000 eV/atom